7
Lattice="-3.527 1.494 -2.013 -3.142 -6.552 0.644 1.044 4.057 5.833" Properties=species:S:1:pos:R:3 comment="Pm4NiRh2 (PBE, optimized geometry)" formation_enthalpy_0k_ev_per_atom=-0.483 polymorph_energy_mev_per_atom=31.7 pbc="T T T"
Pm -2.945 2.797 2.584
Pm -2.681 -3.798 1.879
Pm -2.892 -0.178 0.285
Pm -2.734 -0.824 4.178
Ni 0.000 0.000 0.000
Rh -4.572 -1.650 2.135
Rh -1.054 0.648 2.328

=====

18
Lattice="-0.093 0.490 -3.677 -8.054 -1.502 0.004 -2.643 14.173 1.957" Properties=species:S:1:pos:R:3 comment="YTlAg (PBE, optimized geometry)" formation_enthalpy_0k_ev_per_atom=-0.263 pbc="T T T"
Y -4.642 13.002 1.851
Y -6.054 -0.332 0.109
Y -3.608 7.457 1.086
Y -7.088 5.213 0.875
Y -2.130 3.269 0.490
Y -8.566 9.401 1.471
Tl -0.806 1.479 -1.655
Tl -9.983 11.681 -0.062
Tl -1.631 5.906 -1.043
Tl -9.158 7.254 -0.673
Tl -5.172 2.702 0.491
Tl -5.524 9.969 1.469
Ag -3.741 0.944 -1.651
Ag -7.048 12.216 -0.065
Ag -4.562 5.347 -1.044
Ag -6.227 7.814 -0.673
Ag -7.496 2.522 -1.346
Ag -3.294 10.639 -0.370

=====

12
Lattice="-2.539 -0.766 2.898 -3.215 -3.485 -3.738 5.323 -7.724 2.623" Properties=species:S:1:pos:R:3 comment="CeFeS (PBE, optimized geometry)" final_energy_ev_per_atom=-7.056 pbc="T T T"
Fe -2.013 -1.207 1.911
Fe -0.096 -5.838 -0.295
Fe 1.582 -10.767 -0.128
Fe -0.335 -6.136 2.079
S -2.051 -6.483 0.483
S -1.049 -1.638 -0.021
S 1.621 -5.491 1.300
S 0.618 -10.336 1.804
Ce -2.712 -3.836 0.603
Ce 0.944 -2.842 1.407
Ce 2.282 -8.138 1.180
Ce -1.374 -9.133 0.376

=====

14
Lattice="-3.652 -4.812 0.938 1.652 -0.377 4.498 -4.620 6.687 2.257" Properties=species:S:1:pos:R:3 comment="RbPmGaO4 (PBE, optimized geometry)" final_energy_ev_per_atom=-6.114 pbc="T T T"
Rb -5.902 2.738 6.249
Rb -0.719 -1.241 1.444
Pm -3.473 -0.955 5.047
Pm -3.147 2.453 2.645
Ga -1.086 0.699 4.309
Ga -5.534 0.798 3.383
O -5.953 -0.371 4.793
O -1.449 2.047 0.774
O -0.668 1.869 2.900
O -5.172 -0.550 6.919
O -1.244 -1.101 4.217
O -5.377 2.599 3.476
O -2.702 1.406 4.962
O -3.918 0.092 2.731

=====

4
Lattice="-6.758 -6.900 -7.106 -2.802 -8.199 -8.289 -4.697 -9.932 -4.804" Properties=species:S:1:pos:R:3 comment="Ba2CaSi (PBE, optimized geometry)" polymorph_energy_mev_per_atom=188.5 pbc="T T T"
Ba -0.339 -0.594 -0.480
Ba -6.790 -11.922 -9.620
Ca -3.564 -6.258 -5.050
Si -10.693 -18.774 -15.149

=====

8
Lattice="-3.666 1.617 -1.038 -0.283 -4.301 -5.701 -3.016 -3.248 5.592" Properties=species:S:1:pos:R:3 comment="YPu2PaAs4 (PBE, optimized geometry)" formation_enthalpy_0k_ev_per_atom=-1.188 pbc="T T T"
Y -1.975 -1.342 -3.370
Pu -3.341 -0.815 2.277
Pu -1.649 -3.775 -0.055
Pa 0.000 0.000 0.000
As -2.645 -1.052 -0.550
As -4.320 -4.880 -0.597
As -2.337 -3.505 2.795
As -0.961 -4.044 -2.904

=====

8
Lattice="-1.457 -3.988 1.727 3.766 -0.250 2.600 -1.234 0.355 5.861" Properties=species:S:1:pos:R:3 comment="TiCrB2 (PBE, optimized geometry)" formation_enthalpy_0k_ev_per_atom=0.713 polymorph_energy_mev_per_atom=1117.7 pbc="T T T"
Cr 0.000 0.000 0.000
Cr -0.768 -2.876 4.876
B -0.819 -2.628 2.953
B 1.934 -0.373 3.222
B -0.241 -1.311 5.893
B 1.278 -3.454 8.307
Ti 1.155 -2.119 2.163
Ti 1.844 -1.007 5.312

=====

5
Lattice="-3.121 5.242 -0.245 -5.245 -3.126 -0.058 -0.150 0.155 5.223" Properties=species:S:1:pos:R:3 comment="K2NaAgS (PBE, optimized geometry)" final_energy_ev_per_atom=-2.618 pbc="T T T"
Na -0.075 0.077 2.611
K -2.622 -1.563 -0.029
K -1.561 2.621 -0.123
S 0.000 0.000 0.000
Ag -4.258 1.136 2.460

=====

What did the first record say?
7
Lattice="-3.527 1.494 -2.013 -3.142 -6.552 0.644 1.044 4.057 5.833" Properties=species:S:1:pos:R:3 comment="Pm4NiRh2 (PBE, optimized geometry)" formation_enthalpy_0k_ev_per_atom=-0.483 polymorph_energy_mev_per_atom=31.7 pbc="T T T"
Pm -2.945 2.797 2.584
Pm -2.681 -3.798 1.879
Pm -2.892 -0.178 0.285
Pm -2.734 -0.824 4.178
Ni 0.000 0.000 0.000
Rh -4.572 -1.650 2.135
Rh -1.054 0.648 2.328

=====

> What is the formula in the first record?

Pm4NiRh2